No. 1
Compound: ErReIr
Source: Alexandria via LeMat-Bulk
Functional: PBE-GGA
Structure: optimized geometry

The space group is P-62m (No. 189) and the conventional cell measures 6.6264, 6.6264 and 4.4913 Å, with angles of 90.00, 90.00 and 120.00 degrees. The distinct sites, in fractional coordinates, are Er at (0.0000, 0.4203, 0.0000), Re at (0.0000, 0.7653, 0.5000), Ir at (0.0000, 0.0000, 0.0000) and Ir at (0.3333, 0.6667, 0.5000).

The value obtained for the density of states at the Fermi level is 9.93 states/eV per cell.



No. 2
Compound: Cd2AgMo
Source: Alexandria via LeMat-Bulk
Functional: PBE-GGA
Structure: optimized geometry

The space group is C2/m (No. 12) and the conventional cell measures 9.8104, 2.8125 and 5.5048 Å, with angles of 90.00, 99.33 and 90.00 degrees. The distinct sites, in fractional coordinates, are Cd at (0.2501, 0.0000, 0.2455), Ag at (0.0000, 0.0000, 0.5000) and Mo at (0.0000, 0.5000, 0.0000).

As for the energy above the most stable polymorph in this dataset: 208.8 meV/atom. The value obtained for the density of states at the Fermi level is 6.15 states/eV per cell.



No. 3
Compound: Tm3PuCo
Source: Alexandria via LeMat-Bulk
Functional: PBE-GGA
Structure: optimized geometry

The space group is Pm-3m (No. 221) and the conventional cell measures 5.1844, 5.1844 and 5.1844 Å, with angles of 90.00, 90.00 and 90.00 degrees. The distinct sites, in fractional coordinates, are Tm at (0.0000, 0.0000, 0.5000), Pu at (0.5000, 0.5000, 0.5000) and Co at (0.0000, 0.0000, 0.0000).

The value obtained for the density of states at the Fermi level is 12.35 states/eV per cell.



Asked for formation enthalpy at 0 K across the records above, the calculation gives -1.0; 1.8; 0.3 eV/f.u. in order.
Asked for ρ across the records above, the calculation gives 15.92; 9.50; 9.65 g cm⁻³ in order.